# 1
Compound: SrLi6Ag4
Source: the Alexandria database
Functional: GGA-PBE
Structure: relaxed Values from VASP.

Structure (Quantum ESPRESSO input):
```
&SYSTEM
  ibrav = 0, nat = 11, ntyp = 3
/
ATOMIC_SPECIES
Sr 87.62 Sr.upf
Li 6.94 Li.upf
Ag 107.87 Ag.upf
ATOMIC_POSITIONS angstrom
Sr 0.000 0.000 0.000
Li 0.000 2.761 2.181
Li -1.454 5.279 2.181
Li 3.845 0.443 0.000
Li 2.306 3.108 0.000
Li 1.454 5.279 2.181
Li 5.383 3.108 0.000
Ag 0.000 4.440 0.000
Ag 2.385 1.377 2.181
Ag 5.304 1.377 2.181
Ag 3.845 3.905 2.181
CELL_PARAMETERS angstrom
7.690 0.000 0.000
-3.845 6.659 0.000
0.000 0.000 4.362
```

Values from the calculation:
Space group   P-6m2
Total magnetic moment   0.000 μB per cell
Mass density   4.169 Mg/m³


# 2
Compound: SrLiHf2P
Source: the Alexandria database
Functional: GGA-PBE
Structure: relaxed Values from VASP.

Structure (Quantum ESPRESSO input):
```
&SYSTEM
  ibrav = 0, nat = 5, ntyp = 4
/
ATOMIC_SPECIES
Sr 87.62 Sr.upf
Li 6.94 Li.upf
Hf 178.49 Hf.upf
P 30.97 P.upf
ATOMIC_POSITIONS angstrom
Sr 0.000 0.000 0.000
Li 2.512 2.512 0.000
Hf 0.000 2.512 2.483
Hf 2.512 0.000 2.483
P 2.512 2.512 2.483
CELL_PARAMETERS angstrom
5.025 0.000 0.000
0.000 5.025 0.000
0.000 0.000 4.966
```

Values from the calculation:
Space group   P4/mmm
Total magnetic moment   0.000 μB per cell
Mass density   6.390 Mg/m³


# 3
Compound: K4TlCd3Hg12
Source: the Alexandria database
Functional: GGA-PBE
Structure: relaxed Values from VASP.

Structure (Quantum ESPRESSO input):
```
&SYSTEM
  ibrav = 0, nat = 20, ntyp = 4
/
ATOMIC_SPECIES
K 39.10 K.upf
Tl 204.38 Tl.upf
Cd 112.41 Cd.upf
Hg 200.59 Hg.upf
ATOMIC_POSITIONS angstrom
K 2.869 2.869 -2.869
K 2.869 -2.869 2.869
K -2.869 2.869 2.869
K 2.869 2.869 2.869
Tl 0.000 0.000 0.000
Cd 5.737 0.000 0.000
Cd 0.000 5.737 0.000
Cd 0.000 0.000 5.737
Hg 2.932 0.000 0.000
Hg 8.542 0.000 0.000
Hg 5.737 2.869 0.000
Hg 5.737 0.000 2.869
Hg 0.000 2.932 0.000
Hg 0.000 0.000 2.932
Hg 2.869 5.737 0.000
Hg 2.869 0.000 5.737
Hg 0.000 8.542 0.000
Hg 0.000 0.000 8.542
Hg 0.000 5.737 2.869
Hg 0.000 2.869 5.737
CELL_PARAMETERS angstrom
-5.737 5.737 5.737
5.737 -5.737 5.737
5.737 5.737 -5.737
```

Values from the calculation:
Space group   Im-3m
Total magnetic moment   0.000 μB per cell
Mass density   6.826 Mg/m³


| no. | formation energy (eV/atom) | volume (A^3/atom) |
| --- | --- | --- |
| 1 | -0.167 | 20.3 |
| 2 | -0.011 | 25.1 |
| 3 | -0.062 | 37.8 |